NbCr2CdF: optimized geometry, GGA+U.

abc: 5.3714 5.3714 4.1211
angles: 90.00 90.00 90.00
Fractional positions:
Nb 0.0000 0.0000 0.0000
Cr 0.0000 0.5000 0.5000
Cr 0.5000 0.0000 0.5000
Cd 0.5000 0.5000 0.5000
F 0.5000 0.5000 0.0000

Output
The calculation puts the electronic total energy at -4.699 eV/atom.